VASP calculation (PBE) on a relaxed SrVCoGe2 crystal.

abc: 4.6541 4.6541 4.7195
angles: 90.00 90.00 90.00
Positions (direct):
Sr1 0.0000 0.0000 0.0000
V1 0.5000 0.5000 0.0000
Co1 0.5000 0.5000 0.5000
Ge1 0.0000 0.5000 0.5000
Ge2 0.5000 0.0000 0.5000

Output
Calculated formation energy: 0.7 eV per formula unit



VASP calculation (PBE) on a relaxed SrZnCoGe2 crystal.

abc: 4.6312 4.6312 4.7123
angles: 90.00 90.00 90.00
Positions (direct):
Sr1 0.0000 0.0000 0.0000
Zn1 0.5000 0.5000 0.0000
Co1 0.5000 0.5000 0.5000
Ge1 0.0000 0.5000 0.5000
Ge2 0.5000 0.0000 0.5000

Output
Calculated formation energy: -1.0 eV per formula unit



VASP calculation (PBE) on a relaxed Ta2CoGe2 crystal.

abc: 6.0774 6.0774 4.1606
angles: 90.00 90.00 90.00
Positions (direct):
Ta1 0.1648 0.3352 0.0000
Ta2 0.3352 0.8352 0.0000
Ta3 0.6648 0.1648 0.0000
Ta4 0.8352 0.6648 0.0000
Co1 0.0000 0.0000 0.5000
Co2 0.5000 0.5000 0.5000
Ge1 0.1446 0.6446 0.5000
Ge2 0.3554 0.1446 0.5000
Ge3 0.6446 0.8554 0.5000
Ge4 0.8554 0.3554 0.5000

Output
Calculated formation energy: -0.8 eV per formula unit



VASP calculation (PBE) on a relaxed Ta4CoGe2 crystal.

abc: 7.6047 7.6047 7.6047
angles: 146.32 146.32 48.38
Positions (direct):
Ta1 0.0000 0.5000 0.5000
Ta2 0.1709 0.1709 0.0000
Ta3 0.5000 0.0000 0.5000
Ta4 0.8291 0.8291 0.0000
Co1 0.0000 0.0000 0.0000
Ge1 0.3611 0.3611 0.0000
Ge2 0.6389 0.6389 0.0000

Output
Calculated formation energy: 4.0 eV per formula unit



VASP calculation (PBE) on a relaxed Ta2CoGe crystal.

abc: 5.6203 5.6203 5.6203
angles: 103.96 103.96 121.17
Positions (direct):
Ta1 0.0983 0.1250 0.4733
Ta2 0.3750 0.9017 0.0267
Ta3 0.6517 0.6250 0.5267
Ta4 0.8750 0.3483 0.9733
Co1 0.0000 0.0000 0.0000
Co2 0.7500 0.2500 0.5000
Ge1 0.2500 0.7500 0.5000
Ge2 0.5000 0.5000 0.0000

Output
Calculated formation energy: 0.8 eV per formula unit



VASP calculation (PBE) on a relaxed TaCoGe2 crystal.

abc: 4.3874 4.3874 4.3874
angles: 60.00 60.00 60.00
Positions (direct):
Ta1 0.0000 0.0000 0.0000
Co1 0.5000 0.5000 0.5000
Ge1 0.2500 0.2500 0.2500
Ge2 0.7500 0.7500 0.7500

Output
Calculated formation energy: 0.7 eV per formula unit



VASP calculation (PBE) on a relaxed TaCo4Ge2 crystal.

abc: 6.0349 5.1027 4.7446
angles: 75.49 54.94 49.56
Positions (direct):
Ta1 0.0000 0.0000 0.0000
Co1 0.2500 0.2500 0.2500
Co2 0.3057 0.6943 0.3057
Co3 0.6943 0.3057 0.6943
Co4 0.7500 0.7500 0.7500
Ge1 0.3115 0.3115 0.6885
Ge2 0.6885 0.6885 0.3115

Output
Calculated formation energy: -0.7 eV per formula unit



VASP calculation (PBE) on a relaxed TaCoGe2 crystal.

abc: 9.2320 9.2320 9.2320
angles: 18.21 18.21 18.21
Positions (direct):
Ta1 0.0000 0.0000 0.0000
Co1 0.5000 0.5000 0.5000
Ge1 0.4157 0.4157 0.4157
Ge2 0.5843 0.5843 0.5843

Output
Calculated formation energy: 1.1 eV per formula unit



VASP calculation (PBE) on a relaxed TaCo3Ge crystal.

abc: 4.2173 4.2173 4.2173
angles: 90.00 90.00 90.00
Positions (direct):
Ta1 0.0000 0.0000 0.0000
Co1 0.0000 0.5000 0.5000
Co2 0.5000 0.0000 0.5000
Co3 0.5000 0.5000 0.0000
Ge1 0.5000 0.5000 0.5000

Output
Calculated formation energy: 3.9 eV per formula unit
E above lowest polymorph: 352 meV per atom



VASP calculation (PBE) on a relaxed TaCoGe2 crystal.

abc: 9.2572 9.2572 9.2572
angles: 156.11 156.11 34.04
Positions (direct):
Ta1 0.0000 0.0000 0.0000
Ta2 0.7500 0.2500 0.5000
Co1 0.2500 0.7500 0.5000
Co2 0.5000 0.5000 0.0000
Ge1 0.1513 0.6250 0.0263
Ge2 0.3750 0.4013 0.5263
Ge3 0.5987 0.1250 0.9737
Ge4 0.8750 0.8487 0.4737

Output
Calculated formation energy: 1.0 eV per formula unit



VASP calculation (PBE) on a relaxed TaCo3Ge crystal.

abc: 4.5061 4.5061 4.5061
angles: 90.00 90.00 90.00
Positions (direct):
Ta1 0.0000 0.0000 0.0000
Co1 0.0000 0.0000 0.5000
Co2 0.0000 0.5000 0.0000
Co3 0.5000 0.0000 0.0000
Ge1 0.5000 0.5000 0.5000

Output
Calculated formation energy: 7.0 eV per formula unit
E above lowest polymorph: 972 meV per atom



VASP calculation (PBE) on a relaxed Ta2Co4Ge crystal.

abc: 6.9244 6.9244 6.9244
angles: 145.04 145.04 50.28
Positions (direct):
Ta1 0.1385 0.1385 0.0000
Ta2 0.8615 0.8615 0.0000
Co1 0.0000 0.5000 0.5000
Co2 0.3184 0.3184 0.0000
Co3 0.5000 0.0000 0.5000
Co4 0.6816 0.6816 0.0000
Ge1 0.5000 0.5000 0.0000

Output
Calculated formation energy: 5.4 eV per formula unit



VASP calculation (PBE) on a relaxed Ta2CoGe4 crystal.

abc: 7.1217 7.1217 7.1217
angles: 142.48 142.48 54.10
Positions (direct):
Ta1 0.1098 0.1098 0.0000
Ta2 0.8902 0.8902 0.0000
Co1 0.5000 0.5000 0.0000
Ge1 0.0000 0.5000 0.5000
Ge2 0.3162 0.3162 0.0000
Ge3 0.5000 0.0000 0.5000
Ge4 0.6838 0.6838 0.0000

Output
Calculated formation energy: 3.4 eV per formula unit



VASP calculation (PBE) on a relaxed Ta6Co16Ge7 crystal.

abc: 8.0306 8.0306 8.0306
angles: 60.00 60.00 60.00
Positions (direct):
Ta1 0.2010 0.2010 0.7990
Ta2 0.2010 0.7990 0.2010
Ta3 0.2010 0.7990 0.7990
Ta4 0.7990 0.2010 0.2010
Ta5 0.7990 0.2010 0.7990
Ta6 0.7990 0.7990 0.2010
Co1 0.1428 0.6191 0.6191
Co2 0.1648 0.1648 0.1648
Co3 0.1648 0.1648 0.5055
Co4 0.1648 0.5055 0.1648
Co5 0.3809 0.3809 0.3809
Co6 0.3809 0.3809 0.8572
Co7 0.3809 0.8572 0.3809
Co8 0.4945 0.8352 0.8352
Co9 0.5055 0.1648 0.1648
Co10 0.6191 0.1428 0.6191
Co11 0.6191 0.6191 0.1428
Co12 0.6191 0.6191 0.6191
Co13 0.8352 0.4945 0.8352
Co14 0.8352 0.8352 0.4945
Co15 0.8352 0.8352 0.8352
Co16 0.8572 0.3809 0.3809
Ge1 0.0000 0.0000 0.5000
Ge2 0.0000 0.5000 0.0000
Ge3 0.0000 0.5000 0.5000
Ge4 0.5000 0.0000 0.0000
Ge5 0.5000 0.0000 0.5000
Ge6 0.5000 0.5000 0.0000
Ge7 0.5000 0.5000 0.5000

Output
Calculated formation energy: -9.3 eV per formula unit



VASP calculation (PBE) on a relaxed TaCo3Ge crystal.

abc: 8.7141 8.7141 8.7141
angles: 149.97 149.97 42.98
Positions (direct):
Ta1 0.0949 0.0949 0.0000
Ta2 0.9051 0.9051 0.0000
Co1 0.3740 0.1257 0.7517
Co2 0.3740 0.6223 0.2483
Co3 0.3777 0.6260 0.7517
Co4 0.5272 0.0272 0.5000
Co5 0.8743 0.6260 0.2483
Co6 0.9728 0.4728 0.5000
Ge1 0.2500 0.7500 0.5000
Ge2 0.5000 0.5000 0.0000

Output
Calculated formation energy: 2.1 eV per formula unit
E above lowest polymorph: 0 meV per atom



VASP calculation (PBE) on a relaxed ThTaCo5Ge2 crystal.

abc: 4.4148 4.4148 7.1186
angles: 90.00 90.00 90.00
Positions (direct):
Th1 0.0000 0.0000 0.0000
Ta1 0.0000 0.0000 0.5000
Co1 0.0000 0.5000 0.2891
Co2 0.0000 0.5000 0.7109
Co3 0.5000 0.0000 0.2891
Co4 0.5000 0.0000 0.7109
Co5 0.5000 0.5000 0.0000
Ge1 0.5000 0.5000 0.3247
Ge2 0.5000 0.5000 0.6753

Output
Calculated formation energy: 0.9 eV per formula unit



VASP calculation (PBE) on a relaxed TaZnCo2Ge crystal.

abc: 4.5115 4.5115 4.9751
angles: 90.00 90.00 90.00
Positions (direct):
Ta1 0.0000 0.0000 0.0000
Zn1 0.5000 0.5000 0.5000
Co1 0.0000 0.5000 0.0000
Co2 0.5000 0.0000 0.0000
Ge1 0.0000 0.0000 0.5000

Output
Calculated formation energy: 6.3 eV per formula unit



VASP calculation (PBE) on a relaxed Tb3Co6Ge5 crystal.

abc: 3.9351 11.9619 9.5126
angles: 90.00 90.00 90.00
Positions (direct):
Tb1 0.2500 0.0862 0.2457
Tb2 0.2500 0.4138 0.2457
Tb3 0.2500 0.7500 0.2525
Tb4 0.7500 0.2500 0.7475
Tb5 0.7500 0.5862 0.7543
Tb6 0.7500 0.9138 0.7543
Co1 0.2500 0.0545 0.9029
Co2 0.2500 0.2500 0.5137
Co3 0.2500 0.2500 0.9949
Co4 0.2500 0.4455 0.9029
Co5 0.2500 0.5804 0.4934
Co6 0.2500 0.9196 0.4934
Co7 0.7500 0.0804 0.5066
Co8 0.7500 0.4196 0.5066
Co9 0.7500 0.5545 0.0971
Co10 0.7500 0.7500 0.0051
Co11 0.7500 0.7500 0.4863
Co12 0.7500 0.9455 0.0971
Ge1 0.2500 0.0787 0.6468
Ge2 0.2500 0.4213 0.6468
Ge3 0.2500 0.6287 0.9874
Ge4 0.2500 0.7500 0.6196
Ge5 0.2500 0.8713 0.9874
Ge6 0.7500 0.1287 0.0126
Ge7 0.7500 0.2500 0.3804
Ge8 0.7500 0.3713 0.0126
Ge9 0.7500 0.5787 0.3532
Ge10 0.7500 0.9213 0.3532

Output
Calculated formation energy: -7.8 eV per formula unit



VASP calculation (PBE) on a relaxed Tb4Co7Ge6 crystal.

abc: 7.0550 7.0550 7.0550
angles: 109.47 109.47 109.47
Positions (direct):
Tb1 0.0000 0.0000 0.5000
Tb2 0.0000 0.5000 0.0000
Tb3 0.5000 0.0000 0.0000
Tb4 0.5000 0.5000 0.5000
Co1 0.0000 0.0000 0.0000
Co2 0.2500 0.5000 0.7500
Co3 0.2500 0.7500 0.5000
Co4 0.5000 0.2500 0.7500
Co5 0.5000 0.7500 0.2500
Co6 0.7500 0.2500 0.5000
Co7 0.7500 0.5000 0.2500
Ge1 0.0000 0.3287 0.3287
Ge2 0.0000 0.6713 0.6713
Ge3 0.3287 0.0000 0.3287
Ge4 0.3287 0.3287 0.0000
Ge5 0.6713 0.0000 0.6713
Ge6 0.6713 0.6713 0.0000

Output
Calculated formation energy: -9.2 eV per formula unit



VASP calculation (PBE) on a relaxed Tb2CoGe3 crystal.

abc: 4.0409 4.2097 7.0896
angles: 90.00 90.00 90.00
Positions (direct):
Tb1 0.0000 0.0000 0.0000
Tb2 0.0000 0.5000 0.4808
Co1 0.5000 0.0000 0.2994
Ge1 0.5000 0.0000 0.6234
Ge2 0.5000 0.5000 0.1716
Ge3 0.5000 0.5000 0.8191

Output
Calculated formation energy: -3.9 eV per formula unit
E above lowest polymorph: 0 meV per atom



Calculated M_tot in order - 2.29, 0.00, 0.00, 0.00, 0.00, 0.38, 3.35, 1.01, 2.57, 0.00, 1.54, 0.00, 0.00, 0.00, 1.73, 1.51, 0.83, 0.00, 0.00, 0.00 μB/f.u.